NdGa8Cu2 | PBE | optimized geometry

As for the symmetry: P4/mmm. The calculation puts the calculated volume at 20.43 Å³/atom. The value obtained for the formation energy is -0.052 eV per formula unit. The calculation puts the spin magnetization at 0.0000 μB per atom.

Cell lengths 6.4131, 6.4131, 5.4655 Å; angles 90.00, 90.00, 90.00 degrees
Element x y z (fractional)
Nd  0.0000  0.0000  0.0000
Ga  0.2931  0.2931  0.2510
Ga  0.2931  0.2931  0.7490
Ga  0.2931  0.7069  0.2510
Ga  0.2931  0.7069  0.7490
Ga  0.7069  0.2931  0.2510
Ga  0.7069  0.2931  0.7490
Ga  0.7069  0.7069  0.2510
Ga  0.7069  0.7069  0.7490
Cu  0.0000  0.5000  0.5000
Cu  0.5000  0.0000  0.5000